## YTl2Zn (PBE)

Data for crystalline YTl2Zn at its relaxed geometry.

- Symmetry: R3m, No. 160
- Crystal system: trigonal
- Calculated total energy: -3.132 eV per atom
- DOS(E_F): 2.850 states/eV/cell

Unit cell a=10.098 b=10.098 c=10.098 alpha=20.42 beta=20.42 gamma=20.42
Element x y z (fractional)
Tl  0.008  0.008  0.008
Tl  0.248  0.248  0.248
Y  0.493  0.493  0.493
Zn  0.751  0.751  0.751